1.
Computed, not measured: crystalline Zr2VHPb at its relaxed geometry at the PBE level of DFT.

a = 4.6398 Å, b = 4.6398 Å, c = 3.8794 Å
α = 90.00°, β = 90.00°, γ = 90.00°
Sites, in units of the cell vectors:
Pb 0.5000 0.5000 0.5000
Zr 0.5000 0.0000 0.0000
Zr 0.0000 0.5000 0.0000
V 0.0000 0.0000 0.5000
H 0.0000 0.0000 0.0000

Computed properties:
VASP energy (eV/atom): -6.787
Volume (Å³ per atom): 16.70
Space group: P4/mmm

2.
Computed, not measured: crystalline HPbW2 at its relaxed geometry at the PBE level of DFT.

a = 4.4926 Å, b = 4.4926 Å, c = 4.4926 Å
α = 60.00°, β = 60.00°, γ = 60.00°
Sites, in units of the cell vectors:
W 0.7500 0.7500 0.7500
W 0.2500 0.2500 0.2500
H 0.0000 0.0000 0.0000
Pb 0.5000 0.5000 0.5000

Computed properties:
Distance to the lowest polymorph of the same formula (eV/atom): 0.839
VASP energy (eV/atom): -6.485
Volume (Å³ per atom): 16.03
Space group: Fm-3m

3.
Computed, not measured: crystalline HPb2W at its relaxed geometry at the PBE level of DFT.

a = 6.6877 Å, b = 6.6877 Å, c = 5.7910 Å
α = 54.73°, β = 54.73°, γ = 90.00°
Sites, in units of the cell vectors:
Pb 0.2048 0.6250 0.2500
Pb 0.3750 0.4548 0.7500
Pb 0.8750 0.7952 0.7500
Pb 0.5452 0.1250 0.2500
W 0.0000 0.0000 0.0000
W 0.7500 0.2500 0.5000
H 0.5000 0.5000 0.0000
H 0.2500 0.7500 0.5000

Computed properties:
Distance to the lowest polymorph of the same formula (eV/atom): 0.000
VASP energy (eV/atom): -4.809
Volume (Å³ per atom): 18.69
Space group: I-42d

4.
Computed, not measured: crystalline H3PbW at its relaxed geometry at the PBE level of DFT.

a = 3.7714 Å, b = 3.7714 Å, c = 3.7714 Å
α = 90.00°, β = 90.00°, γ = 90.00°
Sites, in units of the cell vectors:
H 0.5000 0.0000 0.0000
H 0.0000 0.0000 0.5000
H 0.0000 0.5000 0.0000
Pb 0.5000 0.5000 0.5000
W 0.0000 0.0000 0.0000

Computed properties:
Distance to the lowest polymorph of the same formula (eV/atom): 0.000
VASP energy (eV/atom): -4.771
Volume (Å³ per atom): 10.73
Space group: Pm-3m

5.
Computed, not measured: crystalline H3PbW at its relaxed geometry at the PBE level of DFT.

a = 4.2003 Å, b = 4.2003 Å, c = 4.2003 Å
α = 90.00°, β = 90.00°, γ = 90.00°
Sites, in units of the cell vectors:
H 0.5000 0.0000 0.0000
H 0.0000 0.0000 0.5000
H 0.0000 0.5000 0.0000
W 0.5000 0.5000 0.5000
Pb 0.0000 0.0000 0.0000

Computed properties:
Distance to the lowest polymorph of the same formula (eV/atom): 1.208
VASP energy (eV/atom): -3.563
Volume (Å³ per atom): 14.82
Space group: Pm-3m

6.
Computed, not measured: crystalline HPb2W at its relaxed geometry at the PBE level of DFT.

a = 4.8871 Å, b = 4.8871 Å, c = 4.8871 Å
α = 60.00°, β = 60.00°, γ = 60.00°
Sites, in units of the cell vectors:
W 0.5000 0.5000 0.5000
H 0.0000 0.0000 0.0000
Pb 0.7500 0.7500 0.7500
Pb 0.2500 0.2500 0.2500

Computed properties:
Distance to the lowest polymorph of the same formula (eV/atom): 0.223
VASP energy (eV/atom): -4.587
Volume (Å³ per atom): 20.63
Space group: Fm-3m

7.
Computed, not measured: crystalline H2PbW at its relaxed geometry at the PBE level of DFT.

a = 4.1551 Å, b = 4.1551 Å, c = 4.1551 Å
α = 60.00°, β = 60.00°, γ = 60.00°
Sites, in units of the cell vectors:
H 0.2500 0.2500 0.2500
H 0.7500 0.7500 0.7500
Pb 0.5000 0.5000 0.5000
W 0.0000 0.0000 0.0000

Computed properties:
Distance to the lowest polymorph of the same formula (eV/atom): 0.953
VASP energy (eV/atom): -4.330
Volume (Å³ per atom): 12.68
Space group: Fm-3m

8.
Computed, not measured: crystalline HPbW2 at its relaxed geometry at the PBE level of DFT.

a = 5.6909 Å, b = 5.6909 Å, c = 5.7107 Å
α = 60.12°, β = 60.12°, γ = 90.00°
Sites, in units of the cell vectors:
W 0.3750 0.6249 0.7500
W 0.8750 0.6251 0.7500
W 0.3749 0.6250 0.2500
W 0.3751 0.1250 0.2500
H 0.5000 0.5000 0.0000
H 0.2500 0.7500 0.5000
Pb 0.7500 0.2500 0.5000
Pb 0.0000 0.0000 0.0000

Computed properties:
Distance to the lowest polymorph of the same formula (eV/atom): 0.000
VASP energy (eV/atom): -7.324
Volume (Å³ per atom): 16.40
Space group: I4_1/amd